Record 1
The following is a PBE calculation of a relaxed structure of ZnP4Cl, from the Alexandria database.

Cell lengths 8.118, 8.118, 8.118 Å; angles 90.00, 90.00, 90.00 degrees
Space group F-43m (No. 216)
Unique sites:
Zn1 0.000 0.000 0.000 [4 per cell]
P1 0.096 0.096 0.404 [16 per cell]
Cl1 0.250 0.250 0.750 [4 per cell]

Values from the calculation:
V: 535 Å³ per cell
Formation energy from raw total energies: 0.238 eV/atom
Magnetic moment: 0.0 μB/f.u.
Raw total energy: -93.3 eV per cell

---

Record 2
The following is a PBE calculation of a relaxed structure of ZnPCl2, from the Alexandria database.

Cell lengths 4.094, 4.250, 6.570 Å; angles 90.00, 103.49, 90.00 degrees
Space group Pm (No. 6)
Unique sites:
Zn1 0.000 0.000 0.000 [1 per cell]
P1 0.054 0.500 0.164 [1 per cell]
Cl1 0.415 0.000 0.799 [1 per cell]
Cl2 0.718 0.500 0.352 [1 per cell]

Values from the calculation:
V: 111 Å³ per cell
Formation energy from raw total energies: -0.402 eV/atom
Magnetic moment: 0.2 μB/f.u.
Distance to the lowest polymorph of the same formula: 61 meV per atom
Raw total energy: -12.0 eV per cell

---

Record 3
The following is a PBE calculation of a relaxed structure of ZnPCl2, from the Alexandria database.

Cell lengths 7.473, 3.382, 8.102 Å; angles 90.00, 93.49, 90.00 degrees
Space group Cm (No. 8)
Unique sites:
Zn1 0.000 0.000 0.000 [2 per cell]
P1 0.219 0.500 0.130 [2 per cell]
Cl1 0.263 0.500 0.379 [2 per cell]
Cl2 0.488 0.000 0.793 [2 per cell]

Values from the calculation:
V: 204 Å³ per cell
Formation energy from raw total energies: -0.463 eV/atom
Magnetic moment: 0.0 μB/f.u.
Distance to the lowest polymorph of the same formula: 0 meV per atom
Raw total energy: -24.5 eV per cell

---

Record 4
The following is a PBE calculation of a relaxed structure of ZnPCl2, from the Alexandria database.

Cell lengths 3.285, 4.029, 15.013 Å; angles 90.00, 90.00, 90.00 degrees
Space group Immm (No. 71)
Unique sites:
Zn1 0.000 0.000 0.000 [2 per cell]
P1 0.000 0.000 0.500 [2 per cell]
Cl1 0.000 0.500 0.138 [4 per cell]

Values from the calculation:
V: 199 Å³ per cell
Formation energy from raw total energies: 0.016 eV/atom
Magnetic moment: 0.0 μB/f.u.
Distance to the lowest polymorph of the same formula: 479 meV per atom
Raw total energy: -20.6 eV per cell

---

Record 5
The following is a PBE calculation of a relaxed structure of ZnPCl2, from the Alexandria database.

Cell lengths 6.693, 6.693, 6.693 Å; angles 90.00, 90.00, 90.00 degrees
Space group F-43m (No. 216)
Unique sites:
Zn1 0.000 0.000 0.000 [4 per cell]
P1 0.250 0.250 0.250 [4 per cell]
Cl1 0.000 0.000 0.500 [4 per cell]
Cl2 0.250 0.250 0.750 [4 per cell]

Values from the calculation:
V: 300 Å³ per cell
Formation energy from raw total energies: 0.544 eV/atom
Magnetic moment: 0.2 μB/f.u.
Distance to the lowest polymorph of the same formula: 1007 meV per atom
Raw total energy: -32.8 eV per cell

---

Record 6
The following is a PBE calculation of a relaxed structure of ZnP2Cl, from the Alexandria database.

Cell lengths 3.244, 3.244, 8.459 Å; angles 90.00, 90.00, 90.00 degrees
Space group P4mm (No. 99)
Unique sites:
Zn1 0.000 0.000 0.000 [1 per cell]
P1 0.000 0.000 0.727 [1 per cell]
P2 0.500 0.500 0.644 [1 per cell]
Cl1 0.500 0.500 0.139 [1 per cell]

Values from the calculation:
V: 89 Å³ per cell
Formation energy from raw total energies: -0.155 eV/atom
Magnetic moment: 0.0 μB/f.u.
Distance to the lowest polymorph of the same formula: 65 meV per atom
Raw total energy: -14.6 eV per cell

---

Q: Which of these has the highest formation energy from raw total energies?
A: number 5

---

Copy entry 3 word for word.
The following is a PBE calculation of a relaxed structure of ZnPCl2, from the Alexandria database.

Cell lengths 7.473, 3.382, 8.102 Å; angles 90.00, 93.49, 90.00 degrees
Space group Cm (No. 8)
Unique sites:
Zn1 0.000 0.000 0.000 [2 per cell]
P1 0.219 0.500 0.130 [2 per cell]
Cl1 0.263 0.500 0.379 [2 per cell]
Cl2 0.488 0.000 0.793 [2 per cell]

Values from the calculation:
V: 204 Å³ per cell
Formation energy from raw total energies: -0.463 eV/atom
Magnetic moment: 0.0 μB/f.u.
Distance to the lowest polymorph of the same formula: 0 meV per atom
Raw total energy: -24.5 eV per cell

---

Q: Look up the formation energy from raw total energies of the fifth one.
A: 0.544 eV/atom

---

Q: Look up the magnetic moment of the second one.
A: 0.2 μB/f.u.